Entry 1:
Density functional theory data (PBE) for a relaxed structure of TaGeCl3.

Computed properties:
V = 27.4 A^3/atom
calculated density = 4.4 Mg/m³
calculated total energy = -18.771 eV for the cell shown
energy above the lowest structure with this stoichiometry = 3.13 eV per formula unit
total moment = 4.00 μB per formula unit

Cell: 5.155 5.155 5.155 Å, 90.00 90.00 90.00°
Space group Pm-3m (No. 221)
One atom of each set of equivalent atoms:
Ta 0.000 0.000 0.000
Ge 0.500 0.500 0.500
Cl 0.000 0.500 0.500

Entry 2:
Density functional theory data (PBE) for a relaxed structure of Ta3GeCl.

Computed properties:
V = 18.4 A^3/atom
calculated density = 11.7 Mg/m³
calculated total energy = -37.256 eV for the cell shown
energy above the lowest structure with this stoichiometry = 0.00 eV per formula unit
total moment = 0.00 μB per formula unit

Cell: 4.518 4.518 4.518 Å, 90.00 90.00 90.00°
Space group Pm-3m (No. 221)
One atom of each set of equivalent atoms:
Ta 0.000 0.000 0.500
Ge 0.500 0.500 0.500
Cl 0.000 0.000 0.000

Entry 3:
Density functional theory data (PBE) for a relaxed structure of TaGeCl3.

Computed properties:
V = 23.4 A^3/atom
calculated density = 5.1 Mg/m³
calculated total energy = -21.904 eV for the cell shown
energy above the lowest structure with this stoichiometry = 0.00 eV per formula unit
total moment = 1.95 μB per formula unit

Cell: 4.894 4.894 4.894 Å, 90.00 90.00 90.00°
Space group Pm-3m (No. 221)
One atom of each set of equivalent atoms:
Ta 0.000 0.000 0.000
Ge 0.500 0.500 0.500
Cl 0.000 0.000 0.500

Entry 4:
Density functional theory data (PBE) for a relaxed structure of Tb3GeCl3.

Computed properties:
V = 29.9 A^3/atom
calculated density = 5.2 Mg/m³
calculated total energy = -210.629 eV for the cell shown
total moment = 0.00 μB per formula unit

Cell: 6.8919 6.8919 30.4975 Å, 90.00 90.00 120.00°
Space group R-3 (No. 148, hexagonal axes)
One atom of each set of equivalent atoms:
Tb 0.0001 0.3345 0.4464
Ge 0.0000 0.0000 0.1667
Cl 0.0001 0.3348 0.6067

Entry 5:
Density functional theory data (PBE) for a relaxed structure of Tb7GeCl12.

Computed properties:
V = 28.0 A^3/atom
calculated density = 4.8 Mg/m³
calculated total energy = -292.262 eV for the cell shown
total moment = 0.00 μB per formula unit

Cell: 14.2931 14.2931 9.5033 Å, 90.00 90.00 120.00°
Space group R-3 (No. 148, hexagonal axes)
One atom of each set of equivalent atoms:
Tb 0.0000 0.0000 0.0000
Tb 0.0464 0.8731 0.3387
Ge 0.0000 0.0000 0.5000
Cl 0.0258 0.4398 0.1640
Cl 0.0469 0.8708 0.8405

Entry 6:
Density functional theory data (PBE) for a relaxed structure of Tb4Ge2Cl3.

Computed properties:
V = 27.2 A^3/atom
calculated density = 6.0 Mg/m³
calculated total energy = -92.621 eV for the cell shown
total moment = 0.00 μB per formula unit

Cell: 7.147 4.127 16.590 Å, 90.00 90.14 90.00°
Space group C2/m (No. 12)
One atom of each set of equivalent atoms:
Tb 0.002 0.000 0.299
Tb 0.166 0.500 0.890
Ge 0.168 0.500 0.201
Cl 0.000 0.000 0.000
Cl 0.165 0.500 0.606

Entry 7:
Density functional theory data (PBE) for a relaxed structure of TbTlGeCl6.

Computed properties:
V = 33.1 A^3/atom
calculated density = 3.6 Mg/m³
calculated total energy = -36.463 eV for the cell shown
total moment = 0.00 μB per formula unit

Cell: 7.0116 7.0116 6.9928 Å, 90.00 90.00 120.00°
Space group P312 (No. 149)
One atom of each set of equivalent atoms:
Tb 0.0000 0.0000 0.0000
Tl 0.3333 0.6667 0.5000
Ge 0.6667 0.3333 0.0000
Cl 0.3310 0.0365 0.2159

Entry 8:
Density functional theory data (PBE) for a relaxed structure of TcGeCl2.

Computed properties:
V = 23.3 A^3/atom
calculated density = 4.3 Mg/m³
calculated total energy = -53.836 eV for the cell shown
energy above the lowest structure with this stoichiometry = 0.00 eV per formula unit
total moment = 0.00 μB per formula unit

Cell: 3.1437 3.1437 32.6125 Å, 90.00 90.00 120.00°
Space group R-3m (No. 166, hexagonal axes)
One atom of each set of equivalent atoms:
Tc 0.0000 0.0000 0.0000
Ge 0.0000 0.0000 0.5000
Cl 0.0000 0.0000 0.3837

Entry 9:
Density functional theory data (PBE) for a relaxed structure of TcGe3Cl.

Computed properties:
V = 22.3 A^3/atom
calculated density = 5.2 Mg/m³
calculated total energy = -26.866 eV for the cell shown
energy above the lowest structure with this stoichiometry = 0.00 eV per formula unit
total moment = 0.00 μB per formula unit

Cell: 4.815 4.815 4.815 Å, 90.00 90.00 90.00°
Space group Pm-3m (No. 221)
One atom of each set of equivalent atoms:
Tc 0.000 0.000 0.000
Ge 0.000 0.000 0.500
Cl 0.500 0.500 0.500

Entry 10:
Density functional theory data (PBE) for a relaxed structure of TcGeCl3.

Computed properties:
V = 27.7 A^3/atom
calculated density = 3.3 Mg/m³
calculated total energy = -18.605 eV for the cell shown
energy above the lowest structure with this stoichiometry = 0.92 eV per formula unit
total moment = 5.23 μB per formula unit

Cell: 5.176 5.176 5.176 Å, 90.00 90.00 90.00°
Space group Pm-3m (No. 221)
One atom of each set of equivalent atoms:
Tc 0.000 0.000 0.000
Ge 0.500 0.500 0.500
Cl 0.000 0.500 0.500

Entry 11:
Density functional theory data (PBE) for a relaxed structure of TcGeCl2.

Computed properties:
V = 24.2 A^3/atom
calculated density = 4.1 Mg/m³
calculated total energy = -63.707 eV for the cell shown
energy above the lowest structure with this stoichiometry = 2.02 eV per formula unit
total moment = 0.00 μB per formula unit

Cell: 6.097 6.097 10.438 Å, 90.00 90.00 90.00°
Space group I-42d (No. 122)
One atom of each set of equivalent atoms:
Tc 0.000 0.000 0.000
Ge 0.000 0.000 0.500
Cl 0.188 0.250 0.125

Entry 12:
Density functional theory data (PBE) for a relaxed structure of Tc2GeCl.

Computed properties:
V = 14.6 A^3/atom
calculated density = 8.6 Mg/m³
calculated total energy = -100.050 eV for the cell shown
energy above the lowest structure with this stoichiometry = 0.00 eV per formula unit
total moment = 0.00 μB per formula unit

Cell: 6.165 6.165 6.165 Å, 90.00 90.00 90.00°
Space group Fm-3m (No. 225)
One atom of each set of equivalent atoms:
Tc 0.250 0.250 0.250
Ge 0.000 0.000 0.000
Cl 0.000 0.000 0.500

- Look up the V of the ninth one.
  22.3 A^3/atom